Compound: WSeIO2
Source: Alexandria
Functional: GGA+U
Structure: optimized geometry

The structure belongs to space group P4/mmm (No. 123); the cell edges are 3.948, 3.948 and 7.635 Å and the angles 90.00°, 90.00° and 90.00°. Symmetry generates all atoms from W at (0.000, 0.000, 0.000), Se at (0.500, 0.500, 0.500), I at (0.000, 0.000, 0.500) and O at (0.000, 0.500, 0.000).

As for the calculated density: 5.88 g cm⁻³. The calculation puts the volume at 23.80 Å³/atom. The crystal system is tetragonal. The calculated total energy is -5.12 eV per atom.